No. 1
An optimized crystal structure of Ba2FePt. Source: Alexandria via LeMat-Bulk, functional PBE.

The calculation puts the density of states at the Fermi level at 1.373 states/eV/atom. Its magnetic moment is 2.4 μB/cell. For the volume, the calculation gives 137.9 Å³ per cell. The value obtained for the electronic total energy is -17.22 eV/cell.

abc: 4.6026 4.6026 6.5119
angles: 90.00 90.00 90.00
Last column: magnetic moment on the atom in μB.
Element x y z (fractional)
1 Ba 0.0000 0.0000 0.8740  -0.02
2 Ba 0.5000 0.5000 0.3765  -0.08
3 Fe 0.0000 0.0000 0.3730  2.73
4 Pt 0.5000 0.5000 0.8765  -0.02

No. 2
An optimized crystal structure of Ba2FePt. Source: Alexandria via LeMat-Bulk, functional PBE.

The calculation puts the density of states at the Fermi level at 0.963 states/eV/atom. Its magnetic moment is 4.6 μB/cell. For the volume, the calculation gives 258.3 Å³ per cell. The value obtained for the electronic total energy is -33.60 eV/cell.

abc: 8.6133 8.6133 7.0153
angles: 52.13 52.13 90.00
Last column: magnetic moment on the atom in μB.
Element x y z (fractional)
1 Ba 0.6475 0.1250 0.2500  -0.12
2 Ba 0.1025 0.6250 0.2500  -0.12
3 Ba 0.3750 0.3525 0.7500  -0.12
4 Ba 0.8750 0.8975 0.7500  -0.12
5 Pt 0.0000 0.0000 0.0000  0.02
6 Pt 0.7500 0.2500 0.5000  0.02
7 Fe 0.5000 0.5000 0.0000  2.92
8 Fe 0.2500 0.7500 0.5000  2.91

No. 3
An optimized crystal structure of Ba3FePt. Source: Alexandria via LeMat-Bulk, functional PBE.

The calculation puts the density of states at the Fermi level at 0.861 states/eV/atom. Its magnetic moment is 3.2 μB/cell. For the volume, the calculation gives 232.0 Å³ per cell. The value obtained for the electronic total energy is -19.24 eV/cell.

abc: 6.1450 6.1450 6.1450
angles: 90.00 90.00 90.00
Last column: magnetic moment on the atom in μB.
Element x y z (fractional)
1 Ba 0.0000 0.5000 0.0000  -0.01
2 Ba 0.0000 0.0000 0.5000  -0.01
3 Ba 0.5000 0.0000 0.0000  -0.02
4 Pt 0.0000 0.0000 0.0000  0.01
5 Fe 0.5000 0.5000 0.5000  3.16

No. 4
An optimized crystal structure of BaFePt2. Source: Alexandria via LeMat-Bulk, functional PBE.

The calculation puts the density of states at the Fermi level at 0.580 states/eV/atom. Its magnetic moment is 3.8 μB/cell. For the volume, the calculation gives 81.3 Å³ per cell. The value obtained for the electronic total energy is -23.01 eV/cell.

abc: 3.1619 3.3721 7.6272
angles: 90.00 90.00 90.00
Last column: magnetic moment on the atom in μB.
Element x y z (fractional)
1 Ba 0.5000 0.5000 0.2500  -0.02
2 Fe 0.5000 0.5000 0.7500  3.27
3 Pt 0.0000 0.0000 0.9309  0.26
4 Pt 0.0000 0.0000 0.5691  0.26

No. 5
An optimized crystal structure of BaFe2Pt. Source: Alexandria via LeMat-Bulk, functional PBE.

The calculation puts the density of states at the Fermi level at 1.009 states/eV/atom. Its magnetic moment is 5.9 μB/cell. For the volume, the calculation gives 99.4 Å³ per cell. The value obtained for the electronic total energy is -23.60 eV/cell.

abc: 4.5324 4.1156 5.4247
angles: 79.22 90.00 90.00
Last column: magnetic moment on the atom in μB.
Element x y z (fractional)
1 Ba 0.5000 0.7500 0.7500  -0.02
2 Fe 0.0000 0.0499 0.1359  2.78
3 Fe 0.0000 0.4501 0.3641  2.78
4 Pt 0.5000 0.2500 0.2500  0.25

No. 6
An optimized crystal structure of Ba2FePt. Source: Alexandria via LeMat-Bulk, functional PBE.

The calculation puts the density of states at the Fermi level at 1.242 states/eV/atom. Its magnetic moment is 2.8 μB/cell. For the volume, the calculation gives 106.3 Å³ per cell. The value obtained for the electronic total energy is -16.97 eV/cell.

abc: 5.3179 5.3179 5.3179
angles: 60.00 60.00 60.00
Last column: magnetic moment on the atom in μB.
Element x y z (fractional)
1 Ba 0.0000 0.0000 0.0000  -0.07
2 Ba 0.2500 0.2500 0.2500  -0.04
3 Fe 0.5000 0.5000 0.5000  2.92
4 Pt 0.7500 0.7500 0.7500  0.08

No. 7
An optimized crystal structure of BaFePt2. Source: Alexandria via LeMat-Bulk, functional PBE.

The calculation puts the density of states at the Fermi level at 0.943 states/eV/atom. Its magnetic moment is 3.6 μB/cell. For the volume, the calculation gives 95.1 Å³ per cell. The value obtained for the electronic total energy is -22.26 eV/cell.

abc: 5.3783 5.3783 5.3783
angles: 136.16 113.80 82.82
Last column: magnetic moment on the atom in μB.
Element x y z (fractional)
1 Ba 0.7500 0.2500 0.5000  -0.03
2 Fe 0.2500 0.7500 0.5000  3.10
3 Pt 0.0670 0.0670 0.0000  0.26
4 Pt 0.4330 0.4330 0.0000  0.26

No. 8
An optimized crystal structure of BaFePt2. Source: Alexandria via LeMat-Bulk, functional PBE.

The calculation puts the density of states at the Fermi level at 1.019 states/eV/atom. Its magnetic moment is 2.7 μB/cell. For the volume, the calculation gives 97.4 Å³ per cell. The value obtained for the electronic total energy is -23.83 eV/cell.

abc: 4.4872 4.4872 6.1539
angles: 68.67 68.67 59.98
Last column: magnetic moment on the atom in μB.
Element x y z (fractional)
1 Ba 0.5015 0.5015 0.4976  -0.06
2 Fe 0.3184 0.3184 0.0440  2.70
3 Pt 0.9927 0.9927 0.0214  0.10
4 Pt 0.6874 0.6874 0.9371  0.08

No. 9
An optimized crystal structure of BaSrFePt2. Source: Alexandria via LeMat-Bulk, functional PBE.

The calculation puts the density of states at the Fermi level at 1.692 states/eV/atom. Its magnetic moment is 3.2 μB/cell. For the volume, the calculation gives 182.2 Å³ per cell. The value obtained for the electronic total energy is -16.59 eV/cell.

abc: 5.4235 6.1936 5.4235
angles: 90.00 90.00 90.00
Last column: magnetic moment on the atom in μB.
Element x y z (fractional)
1 Sr 0.0000 0.5000 0.0000  -0.05
2 Ba 0.0000 0.0000 0.0000  -0.05
3 Pt 0.0000 0.0000 0.5000  0.02
4 Pt 0.5000 0.0000 0.0000  -0.06
5 Fe 0.5000 0.5000 0.5000  3.35

No. 10
An optimized crystal structure of BaTiFe2Pt. Source: Alexandria via LeMat-Bulk, functional PBE.

The calculation puts the density of states at the Fermi level at 1.102 states/eV/atom. Its magnetic moment is 4.1 μB/cell. For the volume, the calculation gives 110.7 Å³ per cell. The value obtained for the electronic total energy is -30.59 eV/cell.

abc: 4.6748 5.0669 4.6748
angles: 90.00 90.00 90.00
Last column: magnetic moment on the atom in μB.
Element x y z (fractional)
1 Ti 0.0000 0.0000 0.0000  -0.79
2 Ba 0.5000 0.5000 0.5000  -0.02
3 Pt 0.0000 0.5000 0.0000  0.09
4 Fe 0.0000 0.0000 0.5000  2.51
5 Fe 0.5000 0.0000 0.0000  2.41

No. 11
An optimized crystal structure of BaTiFePt2. Source: Alexandria via LeMat-Bulk, functional PBE.

The calculation puts the density of states at the Fermi level at 1.626 states/eV/atom. Its magnetic moment is 0.3 μB/cell. For the volume, the calculation gives 125.2 Å³ per cell. The value obtained for the electronic total energy is -24.65 eV/cell.

abc: 4.7312 5.5918 4.7312
angles: 90.00 90.00 90.00
Last column: magnetic moment on the atom in μB.
Element x y z (fractional)
1 Ti 0.0000 0.0000 0.0000  0.08
2 Ba 0.0000 0.5000 0.0000  0.02
3 Pt 0.0000 0.0000 0.5000  0.03
4 Pt 0.5000 0.0000 0.0000  0.02
5 Fe 0.5000 0.5000 0.5000  0.05

No. 12
An optimized crystal structure of Rb3BaFe. Source: Alexandria via LeMat-Bulk, functional PBE.

The calculation puts the density of states at the Fermi level at 3.294 states/eV/atom. Its magnetic moment is 1.4 μB/cell. For the volume, the calculation gives 337.5 Å³ per cell. The value obtained for the electronic total energy is -9.21 eV/cell.

abc: 6.9625 6.9625 6.9625
angles: 90.00 90.00 90.00
Last column: magnetic moment on the atom in μB.
Element x y z (fractional)
1 Ba 0.5000 0.5000 0.5000  -0.14
2 Rb 0.0000 0.5000 0.0000  -0.03
3 Rb 0.0000 0.0000 0.5000  -0.03
4 Rb 0.5000 0.0000 0.0000  -0.02
5 Fe 0.0000 0.0000 0.0000  2.95

- Look up the magnetic moment of the fifth one.
  5.9 μB/cell

What did the seventh record say?
An optimized crystal structure of BaFePt2. Source: Alexandria via LeMat-Bulk, functional PBE.

The calculation puts the density of states at the Fermi level at 0.943 states/eV/atom. Its magnetic moment is 3.6 μB/cell. For the volume, the calculation gives 95.1 Å³ per cell. The value obtained for the electronic total energy is -22.26 eV/cell.

abc: 5.3783 5.3783 5.3783
angles: 136.16 113.80 82.82
Last column: magnetic moment on the atom in μB.
Element x y z (fractional)
1 Ba 0.7500 0.2500 0.5000  -0.03
2 Fe 0.2500 0.7500 0.5000  3.10
3 Pt 0.0670 0.0670 0.0000  0.26
4 Pt 0.4330 0.4330 0.0000  0.26